No. 1
Computed, not measured: crystalline Mg4SnIr at its relaxed geometry at the PBE level of DFT.

Cell and atoms, written as POSCAR:
```
Mg4SnIr
1.0
-1.802 -2.688 -3.168
4.059 -0.411 -1.961
1.327 -5.463 3.896
Mg Sn Ir
4 1 1
Cartesian
0.058 -5.262 1.196
-0.510 -2.920 -0.474
2.418 -1.783 0.126
2.992 -4.121 1.803
1.138 -1.563 -2.565
0.674 -2.746 1.946
```

Values from the calculation:
For the raw total energy, the calculation gives -3.335 eV/atom. The calculated formation energy is -0.128 eV per atom. As for the crystal system: monoclinic.

No. 2
Computed, not measured: crystalline TbSm2Pt at its relaxed geometry at the PBE level of DFT.

Cell and atoms, written as POSCAR:
```
TbSm2Pt
1.0
3.856 -0.160 0.000
-1.679 6.115 0.000
0.000 0.000 9.798
Tb Sm Pt
2 4 2
Cartesian
0.211 5.107 2.450
1.965 0.848 7.349
0.068 1.650 4.275
2.108 4.305 5.523
2.108 4.305 9.174
0.068 1.650 0.624
2.046 2.796 2.450
0.130 3.160 7.349
```

Values from the calculation:
For the raw total energy, the calculation gives -5.657 eV/atom. The calculated formation energy is -0.630 eV per atom. As for the crystal system: orthorhombic.

No. 3
Computed, not measured: crystalline TeWI2 at its relaxed geometry at the PBE level of DFT.

Cell and atoms, written as POSCAR:
```
TeWI2
1.0
7.653 0.000 0.000
0.000 7.653 0.000
3.827 3.827 4.877
I Te W
4 2 2
Cartesian
6.358 1.913 1.219
1.295 5.740 1.219
5.740 5.122 3.658
9.566 10.185 3.658
3.827 3.827 0.000
3.827 7.653 2.438
0.000 0.000 0.000
7.653 3.827 2.438
```

Values from the calculation:
For the raw total energy, the calculation gives -3.675 eV/atom. As for the crystal system: tetragonal. The calculation puts the uncorrected formation energy at 1124 meV per atom.

No. 4
Computed, not measured: crystalline NiBiHRh2 at its relaxed geometry at the PBE level of DFT.

Cell and atoms, written as POSCAR:
```
NiBiHRh2
1.0
4.078 0.000 0.000
0.000 4.078 0.000
0.000 0.000 3.920
Ni Rh Bi H
1 2 1 1
Cartesian
0.000 0.000 1.960
0.000 2.039 0.000
2.039 0.000 0.000
2.039 2.039 1.960
0.000 0.000 0.000
```

Values from the calculation:
For the raw total energy, the calculation gives -5.578 eV/atom. As for the crystal system: tetragonal.

No. 5
Computed, not measured: crystalline PrYAgSn at its relaxed geometry at the PBE level of DFT.

Cell and atoms, written as POSCAR:
```
PrYAgSn
1.0
5.345 0.000 0.000
2.672 4.629 0.000
2.672 1.543 4.364
Pr Y Sn Ag
1 1 1 1
Cartesian
2.672 1.543 1.091
8.017 4.629 3.273
0.000 0.000 0.000
5.345 3.086 2.182
```

Values from the calculation:
For the raw total energy, the calculation gives -5.049 eV/atom. The calculated formation energy is -0.524 eV per atom. As for the crystal system: cubic.

No. 6
Computed, not measured: crystalline PmFe2 at its relaxed geometry at the PBE level of DFT.

Cell and atoms, written as POSCAR:
```
PmFe2
1.0
5.237 0.000 0.000
2.618 4.535 0.000
2.618 1.512 4.276
Fe Pm
4 2
Cartesian
3.928 3.779 2.672
5.237 1.512 2.672
6.546 3.779 2.672
5.237 3.023 0.534
0.000 0.000 0.000
2.618 1.512 1.069
```

Values from the calculation:
For the raw total energy, the calculation gives -7.181 eV/atom. The calculated formation energy is 0.044 eV per atom. As for the crystal system: cubic.

No. 7
Computed, not measured: crystalline Ac2CeDyBi4 at its relaxed geometry at the PBE level of DFT.

Cell and atoms, written as POSCAR:
```
Ac2CeDyBi4
1.0
4.715 0.000 0.000
0.000 8.162 -0.163
0.000 2.870 7.631
Ac Ce Dy Bi
2 1 1 4
Cartesian
0.000 2.870 7.631
2.357 1.435 3.815
2.357 4.081 -0.082
0.000 5.516 3.734
0.000 8.126 5.632
4.715 2.906 1.835
2.357 6.693 1.862
2.357 4.339 5.606
```

Values from the calculation:
For the raw total energy, the calculation gives -5.186 eV/atom. The calculated formation energy is -0.901 eV per atom. As for the crystal system: monoclinic.

No. 8
Computed, not measured: crystalline Ca2HIO6 at its relaxed geometry at the PBE level of DFT.

Cell and atoms, written as POSCAR:
```
Ca2HIO6
1.0
5.727 0.103 -0.083
2.958 4.980 0.002
2.816 1.741 5.147
Ca H I O
2 1 1 6
Cartesian
5.761 3.447 1.999
2.771 1.792 4.845
9.342 4.545 3.824
2.892 1.758 0.035
4.459 1.676 1.038
1.916 0.469 0.999
7.822 3.272 0.910
6.379 4.767 3.951
6.299 2.173 3.968
4.014 3.546 3.860
```

Values from the calculation:
For the raw total energy, the calculation gives -5.469 eV/atom. As for the crystal system: triclinic.

No. 9
Computed, not measured: crystalline Mg4CdIn at its relaxed geometry at the PBE level of DFT.

Cell and atoms, written as POSCAR:
```
Mg4CdIn
1.0
-1.760 4.100 1.689
-3.314 -2.426 2.432
4.248 -0.397 5.392
Mg Cd In
4 1 1
Cartesian
-3.119 -0.465 4.629
-1.024 -0.659 7.287
1.513 -1.496 5.225
-0.581 -1.303 2.570
-1.191 -2.611 5.113
1.710 0.454 7.438
```

Values from the calculation:
For the raw total energy, the calculation gives -1.652 eV/atom. The calculated formation energy is 0.020 eV per atom. As for the crystal system: tetragonal.

No. 10
Computed, not measured: crystalline Al2TeAs at its relaxed geometry at the PBE level of DFT.

Cell and atoms, written as POSCAR:
```
Al2TeAs
1.0
4.839 0.055 0.000
-0.602 4.802 0.000
0.000 0.000 3.576
As Te Al
1 1 2
Cartesian
2.419 0.027 1.788
-0.301 2.401 1.788
0.000 0.000 0.000
2.118 2.428 0.000
```

Values from the calculation:
For the raw total energy, the calculation gives -3.620 eV/atom. As for the crystal system: orthorhombic. The calculation puts the uncorrected formation energy at 199 meV per atom.

No. 11
Computed, not measured: crystalline Al5Se at its relaxed geometry at the PBE level of DFT.

Cell and atoms, written as POSCAR:
```
Al5Se
1.0
1.499 5.471 0.129
-1.499 5.471 0.129
0.000 3.425 6.782
Al Se
5 1
Cartesian
0.000 13.658 6.824
0.000 9.650 4.700
0.000 5.353 2.271
0.000 6.579 4.794
0.000 2.539 2.834
0.000 7.717 0.874
```

Values from the calculation:
For the raw total energy, the calculation gives -3.665 eV/atom. As for the crystal system: monoclinic. The calculation puts the uncorrected formation energy at 35 meV per atom.

No. 12
Computed, not measured: crystalline ScPaB12 at its relaxed geometry at the PBE level of DFT.

Cell and atoms, written as POSCAR:
```
ScPaB12
1.0
-3.419 -1.211 1.845
1.917 -3.315 1.376
2.191 4.056 6.721
Sc Pa B
1 1 12
Cartesian
0.000 0.000 0.000
1.095 2.028 3.361
0.829 -0.885 2.729
1.927 1.147 6.097
0.128 -0.636 4.307
1.223 1.392 7.668
-0.784 -0.249 2.871
0.314 1.783 6.239
-0.535 -1.863 2.274
0.561 0.165 5.635
0.375 -2.254 3.703
1.473 -0.222 7.071
-1.238 -1.618 3.845
-0.140 0.414 7.213
```

Values from the calculation:
For the raw total energy, the calculation gives -7.136 eV/atom. The calculated formation energy is -0.282 eV per atom. As for the crystal system: tetragonal.